(1)
Material: Ac7Sb2Pb2
Method: DFT, PBE
State: optimized geometry

Values from the calculation:
- Formation energy (no corrections): -0.37 eV per atom
- Calculated volume: 461.1 Å³/cell
- D(E_F): 15.033 states/eV/cell
- Symmetry: No. 65

a = 7.738 Å, b = 7.966 Å, c = 7.738 Å
α = 90.00°, β = 104.80°, γ = 90.00°
Positions (direct):
Ac (0.000, 0.721, 0.500)
Ac (0.000, 0.279, 0.500)
Ac (0.500, 0.721, 0.000)
Ac (0.000, 0.000, 0.000)
Pb (0.821, 0.500, 0.821)
Ac (0.500, 0.748, 0.500)
Ac (0.500, 0.279, 0.000)
Sb (0.273, 0.000, 0.727)
Pb (0.179, 0.500, 0.179)
Ac (0.500, 0.252, 0.500)
Sb (0.727, 0.000, 0.273)

=====

(2)
Material: Tb2CdSn2Rh5
Method: DFT, PBE
State: optimized geometry

Values from the calculation:
- Calculated volume: 385.4 Å³/cell
- D(E_F): 4.792 states/eV/cell
- Symmetry: No. 127
- Energy of formation from the pure elements: -50.6 kJ per mole of atoms

a = 3.759 Å, b = 10.125 Å, c = 10.125 Å
α = 90.00°, β = 90.00°, γ = 90.00°
Positions (direct):
Sn (0.000, 0.628, 0.872)
Tb (0.000, 0.171, 0.329)
Rh (0.500, 0.562, 0.703)
Tb (0.000, 0.329, 0.829)
Sn (0.000, 0.872, 0.372)
Tb (0.000, 0.829, 0.671)
Rh (0.500, 0.703, 0.438)
Rh (0.500, 0.297, 0.562)
Rh (0.500, 0.500, 0.000)
Tb (0.000, 0.671, 0.171)
Rh (0.500, 0.000, 0.500)
Cd (0.000, 0.000, 0.000)
Sn (0.000, 0.372, 0.128)
Rh (0.500, 0.062, 0.797)
Rh (0.500, 0.203, 0.062)
Rh (0.500, 0.797, 0.938)
Cd (0.000, 0.500, 0.500)
Rh (0.500, 0.938, 0.203)
Sn (0.000, 0.128, 0.628)
Rh (0.500, 0.438, 0.297)

=====

(3)
Material: MgBe2Te
Method: DFT, PBE
State: optimized geometry

Values from the calculation:
- Formation energy (no corrections): 0.48 eV per atom
- Calculated volume: 77.3 Å³/cell
- Distance to the lowest polymorph of the same formula: 294 meV/atom
- D(E_F): 0.949 states/eV/cell
- Symmetry: No. 166

a = 7.088 Å, b = 7.088 Å, c = 7.088 Å
α = 29.69°, β = 29.69°, γ = 29.69°
Positions (direct):
Be (0.512, 0.512, 0.512)
Be (0.988, 0.988, 0.988)
Mg (0.750, 0.750, 0.750)
Te (0.250, 0.250, 0.250)

=====

(4)
Material: LiScPbBr6
Method: DFT, PBE
State: optimized geometry

Values from the calculation:
- Formation energy (no corrections): -1.38 eV per atom
- Calculated volume: 552.5 Å³/cell
- D(E_F): 0.000 states/eV/cell
- Symmetry: No. 163

a = 6.989 Å, b = 6.989 Å, c = 13.059 Å
α = 90.00°, β = 90.00°, γ = 120.00°
Positions (direct):
Sc (0.667, 0.333, 0.250)
Br (0.643, 0.635, 0.134)
Br (0.635, 0.992, 0.866)
Br (0.992, 0.357, 0.134)
Li (0.333, 0.667, 0.250)
Br (0.357, 0.992, 0.634)
Br (0.992, 0.635, 0.366)
Br (0.365, 0.008, 0.134)
Br (0.008, 0.365, 0.634)
Br (0.357, 0.365, 0.866)
Li (0.667, 0.333, 0.750)
Br (0.365, 0.357, 0.366)
Pb (0.000, 0.000, 0.500)
Br (0.643, 0.008, 0.366)
Sc (0.333, 0.667, 0.750)
Br (0.008, 0.643, 0.866)
Pb (0.000, 0.000, 0.000)
Br (0.635, 0.643, 0.634)

=====

(5)
Material: PrDy3Tm5
Method: DFT, PBE
State: optimized geometry

Values from the calculation:
- Calculated volume: 588.2 Å³/cell
- Distance to the lowest polymorph of the same formula: 0 meV/atom
- D(E_F): 26.065 states/eV/cell
- Symmetry: No. 15
- Energy of formation from the pure elements: 32.7 kJ per mole of atoms

a = 9.134 Å, b = 9.134 Å, c = 11.168 Å
α = 91.01°, β = 91.01°, γ = 39.16°
Positions (direct):
Tm (0.398, 0.602, 0.750)
Tm (0.623, 0.031, 0.253)
Dy (0.884, 0.447, 0.584)
Tm (0.031, 0.623, 0.753)
Tm (0.563, 0.104, 0.588)
Tm (0.104, 0.563, 0.088)
Tm (0.437, 0.896, 0.412)
Dy (0.000, 0.000, 0.500)
Pr (0.870, 0.130, 0.750)
Tm (0.969, 0.377, 0.247)
Pr (0.130, 0.870, 0.250)
Dy (0.447, 0.884, 0.084)
Tm (0.377, 0.969, 0.747)
Dy (0.000, 0.000, 0.000)
Dy (0.116, 0.553, 0.416)
Tm (0.896, 0.437, 0.912)
Tm (0.602, 0.398, 0.250)
Dy (0.553, 0.116, 0.916)

=====

(6)
Material: FeTc2Ir
Method: DFT, PBE
State: optimized geometry

Values from the calculation:
- Calculated volume: 54.3 Å³/cell
- Distance to the lowest polymorph of the same formula: 0 meV/atom
- D(E_F): 3.357 states/eV/cell
- Symmetry: No. 47
- Energy of formation from the pure elements: -4.8 kJ per mole of atoms

a = 2.693 Å, b = 3.746 Å, c = 5.381 Å
α = 90.00°, β = 90.00°, γ = 90.00°
Positions (direct):
Fe (0.500, 0.500, 0.250)
Tc (0.000, 0.000, 0.479)
Tc (0.000, 0.000, 0.021)
Ir (0.500, 0.500, 0.750)

=====

(7)
Material: UTiIr2
Method: DFT, PBE
State: optimized geometry

Values from the calculation:
- Calculated volume: 73.9 Å³/cell
- Distance to the lowest polymorph of the same formula: 125 meV/atom
- D(E_F): 6.076 states/eV/cell
- Symmetry: No. 166
- Energy of formation from the pure elements: -50.4 kJ per mole of atoms

a = 4.318 Å, b = 4.318 Å, c = 5.209 Å
α = 65.52°, β = 65.52°, γ = 60.00°
Site moments in Bohr magnetons follow the coordinates.
Positions (direct):
U (0.500, 0.500, 0.500)  1.43
Ir (0.276, 0.276, 0.171)  -0.11
Ti (0.000, 0.000, 0.000)  0.14
Ir (0.724, 0.724, 0.829)  -0.11

=====

(8)
Material: SrNi4B4
Method: DFT, PBE
State: optimized geometry

Values from the calculation:
- Calculated volume: 198.9 Å³/cell
- D(E_F): 8.381 states/eV/cell
- Symmetry: No. 86
- Energy of formation from the pure elements: -24.9 kJ per mole of atoms

a = 3.717 Å, b = 7.316 Å, c = 7.316 Å
α = 90.00°, β = 90.00°, γ = 90.00°
Positions (direct):
Ni (0.905, 0.397, 0.141)
B (0.904, 0.671, 0.205)
Ni (0.405, 0.359, 0.897)
Ni (0.405, 0.641, 0.103)
B (0.404, 0.705, 0.829)
B (0.904, 0.329, 0.795)
B (0.596, 0.171, 0.705)
B (0.096, 0.795, 0.671)
Ni (0.095, 0.141, 0.603)
B (0.096, 0.205, 0.329)
Sr (0.500, 0.500, 0.500)
Ni (0.905, 0.603, 0.859)
B (0.596, 0.829, 0.295)
Ni (0.095, 0.859, 0.397)
Ni (0.595, 0.897, 0.641)
Ni (0.595, 0.103, 0.359)
Sr (0.000, 0.000, 0.000)
B (0.404, 0.295, 0.171)

=====

Number 1: mass density 8.1 g/cm³. Number 2: mass density 10.2 g/cm³. Number 3: mass density 3.6 g/cm³. Number 4: mass density 4.4 g/cm³. Number 5: mass density 8.3 g/cm³. Number 6: mass density 13.6 g/cm³. Number 7: mass density 15.1 g/cm³. Number 8: mass density 6.1 g/cm³.